Entry 1:
## KSnHgCl2 (PBE)

Data for a relaxed KSnHgCl2 crystal.

Computed properties:
SG: No. 123
Uncorrected formation energy: -0.614 eV per atom

Cell: 5.573 6.815 5.573 Å, 90.00 90.00 90.00°
Positions (direct):
K 0.000 0.500 0.000
Cl 0.000 0.000 0.500
Cl 0.500 0.000 0.000
Hg 0.500 0.500 0.500
Sn 0.000 0.000 0.000

***

Entry 2:
## KSnHg2Cl8 (PBE)

Data for a relaxed KSnHg2Cl8 crystal.

Computed properties:
SG: No. 2
Uncorrected formation energy: -0.892 eV per atom

Cell: 6.767 6.696 8.817 Å, 76.56 83.01 87.97°
Positions (direct):
K 0.000 0.000 0.500
Sn 0.000 0.000 0.000
Hg 0.482 0.474 0.740
Hg 0.518 0.526 0.260
Cl 0.142 0.751 0.236
Cl 0.674 0.752 0.024
Cl 0.816 0.200 0.190
Cl 0.858 0.249 0.764
Cl 0.326 0.248 0.976
Cl 0.184 0.800 0.810
Cl 0.613 0.730 0.516
Cl 0.387 0.270 0.484

***

Entry 3:
## K2SnHgCl6 (PBE)

Data for a relaxed K2SnHgCl6 crystal.

Computed properties:
SG: No. 146
Uncorrected formation energy: -1.266 eV per atom

Cell: 7.548 7.548 7.676 Å, 60.55 60.55 60.00°
Positions (direct):
K 0.538 0.538 0.387
K 0.038 0.038 0.886
Sn 0.817 0.817 0.550
Hg 0.316 0.316 0.052
Cl 0.580 0.167 0.269
Cl 0.167 0.984 0.269
Cl 0.984 0.580 0.269
Cl 0.477 0.656 0.778
Cl 0.656 0.088 0.778
Cl 0.088 0.477 0.778

***

Entry 4:
## KTlHgCl6 (PBE)

Data for a relaxed KTlHgCl6 crystal.

Computed properties:
SG: No. 163
Uncorrected formation energy: -0.945 eV per atom

Cell: 6.952 6.952 13.755 Å, 90.00 90.00 120.00°
Positions (direct):
K 0.000 0.000 0.000
K 0.000 0.000 0.500
Tl 0.333 0.667 0.250
Tl 0.667 0.333 0.750
Hg 0.667 0.333 0.250
Hg 0.333 0.667 0.750
Cl 0.625 0.633 0.139
Cl 0.008 0.375 0.139
Cl 0.375 0.008 0.639
Cl 0.992 0.625 0.861
Cl 0.367 0.375 0.361
Cl 0.008 0.633 0.361
Cl 0.633 0.008 0.861
Cl 0.625 0.992 0.361
Cl 0.992 0.367 0.639
Cl 0.367 0.992 0.139
Cl 0.633 0.625 0.639
Cl 0.375 0.367 0.861

***

Entry 5:
## KTlHg2Cl8 (PBE)

Data for a relaxed KTlHg2Cl8 crystal.

Computed properties:
SG: No. 2
Uncorrected formation energy: -0.838 eV per atom

Cell: 6.958 6.682 8.778 Å, 75.44 82.97 89.11°
Positions (direct):
K 0.000 0.000 0.500
Tl 0.000 0.000 0.000
Hg 0.500 0.475 0.755
Hg 0.500 0.525 0.245
Cl 0.125 0.745 0.243
Cl 0.646 0.751 0.009
Cl 0.831 0.194 0.186
Cl 0.875 0.255 0.757
Cl 0.354 0.249 0.991
Cl 0.169 0.806 0.814
Cl 0.610 0.731 0.526
Cl 0.390 0.269 0.474

***

Entry 6:
## KTl2HgCl6 (PBE)

Data for a relaxed KTl2HgCl6 crystal.

Computed properties:
SG: No. 14
Uncorrected formation energy: -0.953 eV per atom

Cell: 7.179 7.910 11.044 Å, 90.00 90.88 90.00°
Positions (direct):
K 0.500 0.000 0.000
K 0.000 0.500 0.500
Tl 0.023 0.929 0.263
Tl 0.523 0.571 0.763
Tl 0.977 0.071 0.737
Tl 0.477 0.429 0.237
Hg 0.500 0.000 0.500
Hg 0.000 0.500 0.000
Cl 0.290 0.660 0.047
Cl 0.790 0.840 0.547
Cl 0.710 0.340 0.953
Cl 0.210 0.160 0.453
Cl 0.325 0.708 0.389
Cl 0.825 0.792 0.889
Cl 0.675 0.292 0.611
Cl 0.175 0.208 0.111
Cl 0.829 0.604 0.230
Cl 0.329 0.896 0.730
Cl 0.171 0.396 0.770
Cl 0.671 0.104 0.270

***

Entry 7:
## K2TlHgCl5 (PBE)

Data for a relaxed K2TlHgCl5 crystal.

Computed properties:
SG: No. 71
Uncorrected formation energy: -1.251 eV per atom

Cell: 5.174 7.479 8.835 Å, 115.04 107.03 90.00°
Positions (direct):
K 0.205 0.205 0.409
K 0.795 0.795 0.591
Tl 0.000 0.500 0.000
Hg 0.500 0.000 0.000
Cl 0.629 0.878 0.259
Cl 0.371 0.122 0.741
Cl 0.371 0.619 0.741
Cl 0.629 0.381 0.259
Cl 0.000 0.000 0.000

***

Entry 8:
## K2TlHgCl6 (PBE)

Data for a relaxed K2TlHgCl6 crystal.

Computed properties:
SG: No. 146
Uncorrected formation energy: -1.179 eV per atom

Cell: 7.537 7.537 7.672 Å, 60.58 60.58 60.00°
Positions (direct):
K 0.539 0.539 0.383
K 0.040 0.040 0.881
Tl 0.318 0.318 0.047
Hg 0.818 0.818 0.546
Cl 0.588 0.148 0.282
Cl 0.148 0.983 0.282
Cl 0.983 0.588 0.282
Cl 0.493 0.659 0.771
Cl 0.659 0.077 0.771
Cl 0.077 0.493 0.771